Record 1
VASP calculation (PBE) on crystalline NbBr at its relaxed geometry.

Lattice parameters (Å, degrees): 5.4436 5.4436 5.4436 90.00 90.00 90.00
Last column: nearest neighbours and their distance in Å.
Sites, in units of the cell vectors:
Br  0.5000  0.0000  0.5000  6 Nb 2.72
Br  0.0000  0.5000  0.5000  6 Nb 2.72
Br  0.5000  0.5000  0.0000  6 Nb 2.72
Nb  0.0000  0.0000  0.5000  6 Br 2.72
Nb  0.5000  0.0000  0.0000  6 Br 2.72
Nb  0.5000  0.5000  0.5000  6 Br 2.72
Nb  0.0000  0.5000  0.0000  6 Br 2.72
Br  0.0000  0.0000  0.0000  6 Nb 2.72

## Properties
**Space-group type**: Fm-3m

Record 2
VASP calculation (PBE) on crystalline Ac2OsC2 at its relaxed geometry.

Lattice parameters (Å, degrees): 5.7172 6.6936 10.8838 90.00 90.00 90.00
Last column: nearest neighbours and their distance in Å.
Sites, in units of the cell vectors:
C  0.2500  0.5190  0.2455  2 Os 1.98-2.00
C  0.7500  0.4810  0.7545  2 Os 1.98-2.00
Ac  0.2500  0.9719  0.7228  3 C 2.79-2.87
C  0.7500  0.2903  0.4770  1 Os 1.93
Os  0.2500  0.2623  0.1513  3 C 1.93-2.00
Os  0.7500  0.2377  0.6513  3 C 1.93-2.00
C  0.7500  0.9810  0.7455  2 Os 1.98-2.00
C  0.7500  0.7903  0.0230  1 Os 1.93
C  0.2500  0.2097  0.9770  1 Os 1.93
Ac  0.7500  0.5281  0.2228  3 C 2.79-2.87
Ac  0.2500  0.4719  0.7772  3 C 2.79-2.87
C  0.2500  0.0190  0.2545  2 Os 1.98-2.00
Ac  0.2500  0.7939  0.0450  5 C 2.73-2.88
Ac  0.2500  0.2939  0.4550  5 C 2.73-2.88
Ac  0.7500  0.7061  0.5450  5 C 2.73-2.88
Os  0.2500  0.7623  0.3487  3 C 1.93-2.00
Ac  0.7500  0.0281  0.2772  3 C 2.79-2.87
C  0.2500  0.7097  0.5230  1 Os 1.93
Os  0.7500  0.7377  0.8487  3 C 1.93-2.00
Ac  0.7500  0.2061  0.9550  5 C 2.73-2.88

## Properties
**ΔE_f**: -0.025 eV per atom
**Space-group type**: Pnma

Record 3
VASP calculation (PBE) on crystalline TlCuTe2 at its relaxed geometry.

Lattice parameters (Å, degrees): 11.4833 6.6619 6.6619 59.51 115.40 64.60
Last column: nearest neighbours and their distance in Å.
Sites, in units of the cell vectors:
Te  0.1773  0.1339  0.5388  2 Cu 2.62
Te  0.6773  0.9612  0.3661  2 Cu 2.62
Cu  0.2539  0.6818  0.5680  4 Te 2.62
Te  0.8310  0.1522  0.0213  2 Cu 2.62
Cu  0.7539  0.9320  0.8182  4 Te 2.62
Tl  0.2551  0.1801  0.0690  2 Cu 3.30-3.31, 8 Te 3.46-3.52
Tl  0.7551  0.4310  0.3199  2 Cu 3.30-3.31, 8 Te 3.46-3.52
Te  0.3310  0.4787  0.3478  2 Cu 2.62

## Properties
**Space-group type**: Cc

Record 4
VASP calculation (PBE) on crystalline LaNd2Dy7 at its relaxed geometry.

Lattice parameters (Å, degrees): 6.2105 8.0426 11.3752 135.15 123.11 58.93
Last column: nearest neighbours and their distance in Å.
Sites, in units of the cell vectors:
Dy  0.4996  0.3008  0.1999  2 Nd 3.58-3.60, 8 Dy 3.58-3.60, 2 La 3.58-3.59
Dy  0.5004  0.6992  0.8001  2 Nd 3.58-3.60, 8 Dy 3.58-3.60, 2 La 3.58-3.59
La  0.0000  0.0000  0.0000  10 Dy 3.58-3.61, 2 Nd 3.60
Dy  0.0006  0.2009  0.8001  3 Nd 3.58-3.60, 8 Dy 3.58-3.60, 1 La 3.61
Dy  0.0001  0.3993  0.5999  4 Nd 3.58-3.60, 7 Dy 3.58-3.61, 1 La 3.59
Dy  0.9999  0.6007  0.4001  4 Nd 3.58-3.60, 7 Dy 3.58-3.61, 1 La 3.59
Dy  0.5000  0.5000  0.0000  8 Dy 3.58-3.60, 2 Nd 3.59, 2 La 3.60
Nd  0.4993  0.9002  0.5999  10 Dy 3.58-3.60, 1 Nd 3.60, 1 La 3.60
Dy  0.9994  0.7991  0.1999  3 Nd 3.58-3.60, 8 Dy 3.58-3.60, 1 La 3.61
Nd  0.5007  0.0998  0.4001  10 Dy 3.58-3.60, 1 Nd 3.60, 1 La 3.60

## Properties
**ΔE_f**: 0.020 eV per atom
**Space-group type**: P-1

Record 5
VASP calculation (PBE) on crystalline Y2NiSnSe at its relaxed geometry.

Lattice parameters (Å, degrees): 5.7104 4.5694 5.7104 90.00 90.00 90.00
Last column: nearest neighbours and their distance in Å.
Sites, in units of the cell vectors:
Y  0.5000  0.0000  0.0000  2 Sn 2.86
Ni  0.0000  0.5000  0.0000  2 Sn 2.28
Sn  0.0000  0.0000  0.0000  2 Ni 2.28
Se  0.5000  0.5000  0.5000  8 Y 3.66, 4 Ni 4.04
Y  0.0000  0.0000  0.5000  2 Sn 2.86

## Properties
**Space-group type**: P4/mmm

Record 6
VASP calculation (PBE) on crystalline CaPrNi at its relaxed geometry.

Lattice parameters (Å, degrees): 3.7817 6.6987 7.3285 75.28 104.89 106.36
Last column: nearest neighbours and their distance in Å.
Sites, in units of the cell vectors:
Ni  0.5381  0.3262  0.7125  1 Ni 2.56
Ca  0.6054  0.0423  0.1288  3 Ni 2.99-3.15
Ni  0.3221  0.2247  0.3805  1 Ni 2.56
Pr  0.0125  0.5486  0.4383  4 Ni 2.88-2.90
Ca  0.2548  0.5085  0.9642  3 Ni 2.99-3.15
Pr  0.8476  0.0023  0.6547  4 Ni 2.88-2.90

## Properties
**ΔE_f**: -0.159 eV per atom
**Space-group type**: P-1

The evaluated VASP energy for the records listed, in turn: -38.7, -152.1, -26.2, -46.5, -26.4, -26.1 eV for the cell shown.